The following is a DFT calculation (PBE-GGA) of Rb5InS4 after structural relaxation.

It has space group C2/m (No. 12), with a = 19.894 Å, b = 4.632 Å, c = 8.333 Å, α = 90.00°, β = 114.59° and γ = 90.00°. The asymmetric unit holds Rb at (0.000, 0.000, 0.000), Rb at (0.169, 0.500, 0.413), Rb at (0.169, 0.500, 0.914), In at (0.000, 0.000, 0.500), S at (0.000, 0.500, 0.283) and S at (0.156, 0.000, 0.652).

The calculation puts the raw formation energy at -73 kJ per mole of atoms. The value obtained for the final energy is -63.2 eV/cell.


The following is a DFT calculation (PBE-GGA) of NaSr6Zn after structural relaxation.

It has space group I4/mmm (No. 139), with a = 5.921 Å, b = 5.921 Å, c = 20.778 Å, α = 90.00°, β = 90.00° and γ = 90.00°. The asymmetric unit holds Na at (0.000, 0.000, 0.000), Sr at (0.000, 0.000, 0.249), Sr at (0.000, 0.500, 0.100) and Zn at (0.000, 0.000, 0.500).

For the formation energy from the elements, the calculation gives -3.0 meV per atom. The value obtained for the final energy is -25.4 eV/cell. The calculation puts the energy relative to the lowest polymorph listed for this composition at 0.00 kcal/mol of atoms.


The following is a DFT calculation (PBE-GGA) of HfZr2PdC after structural relaxation.

It has space group P4/mmm (No. 123), with a = 4.517 Å, b = 4.517 Å, c = 4.447 Å, α = 90.00°, β = 90.00° and γ = 90.00°. The asymmetric unit holds Hf at (0.000, 0.000, 0.000), Zr at (0.000, 0.500, 0.500), Pd at (0.500, 0.500, 0.000) and C at (0.000, 0.000, 0.500).

For the formation energy from the elements, the calculation gives -484.1 meV per atom. The value obtained for the final energy is -43.9 eV/cell.


no.,M_tot (μB/atom)
1,0.003
2,0.000
3,0.000